Entry from Alexandria via LeMat-Bulk: an optimized crystal structure of KTl4V3F12 (PBE+U).

a = 7.597 Å, b = 7.597 Å, c = 7.597 Å
α = 109.47°, β = 109.47°, γ = 109.47°
Site moments in Bohr magnetons follow the coordinates.
Atoms (fractional coordinates):
F 0.750 0.500 0.250  0.00
V 0.500 0.500 0.000  2.48
F 0.276 0.276 0.000  0.00
Tl 0.000 0.500 0.000  0.00
V 0.000 0.500 0.500  2.48
Tl 0.000 0.000 0.500  0.00
Tl 0.500 0.000 0.000  0.00
K 0.000 0.000 0.000  0.00
F 0.250 0.500 0.750  0.00
F 0.000 0.724 0.724  0.00
V 0.500 0.000 0.500  2.48
Tl 0.500 0.500 0.500  0.00
F 0.500 0.250 0.750  0.00
F 0.750 0.250 0.500  0.00
F 0.000 0.276 0.276  0.00
F 0.276 0.000 0.276  0.00
F 0.500 0.750 0.250  0.00
F 0.250 0.750 0.500  0.00
F 0.724 0.724 0.000  0.00
F 0.724 0.000 0.724  0.00

Summary:
**E_tot**: -5.11 eV/atom
**Space-group type**: Im-3m, No. 229